Here is a relaxed structure of PrDy7Er2 from Alexandria via LeMat-Bulk. Energies are from GGA-PBE.

POSCAR file:
```
PrDy7Er2
1.0
4.375 -7.970 0.000
4.375 7.970 0.000
0.000 0.000 5.645
Pr Dy Er
1 7 2
direct
0.000 0.000 0.000
0.061 0.293 0.500
0.221 0.779 0.000
0.293 0.061 0.500
0.500 0.500 0.500
0.707 0.939 0.500
0.779 0.221 0.000
0.939 0.707 0.500
0.296 0.704 0.500
0.704 0.296 0.500
```

mass density = 6.80 g/cm³
E_tot = -3.916 eV/atom
DOS at the Fermi energy = 13.74 states/eV/cell
energy relative to the elements = 696 meV/atom